No. 1
A plane-wave DFT calculation with GGA-PBE was carried out for LiIn2Ru2 after structural relaxation.

## Properties
- ΔE to the lowest computed polymorph (eV per formula unit) = 0.00
- calculated volume (A^3/atom) = 18.38
- D(E_F) (states/eV/f.u.) = 4.834
- energy of formation from the pure elements (eV per formula unit) = 0.54

Unit cell a=7.7391 b=7.7391 c=3.0693 alpha=90.00 beta=90.00 gamma=90.00
Space group P4/mbm (No. 127)
One atom of each set of equivalent atoms:
Li 0.0000 0.0000 0.0000
In 0.1789 0.3211 0.5000
Ru 0.1165 0.6165 0.0000



No. 2
A plane-wave DFT calculation with GGA-PBE was carried out for Ba3Ta2AgO9 after structural relaxation.

## Properties
- calculated volume (A^3/atom) = 14.99
- E_form (uncorrected) (eV per atom) = -2.565
- D(E_F) (states/eV/f.u.) = 5.538

Unit cell a=5.9371 b=5.9371 c=7.3638 alpha=90.00 beta=90.00 gamma=120.00
Space group P-3m1 (No. 164)
One atom of each set of equivalent atoms:
Ba 0.0000 0.0000 0.0000
Ba 0.3333 0.6667 0.6596
Ta 0.3333 0.6667 0.1666
Ag 0.0000 0.0000 0.5000
O 0.0000 0.5000 0.0000
O 0.1768 0.3537 0.3117



No. 3
A plane-wave DFT calculation with GGA-PBE was carried out for Na2LaY after structural relaxation.

## Properties
- ΔE to the lowest computed polymorph (eV per formula unit) = 0.52
- calculated volume (A^3/atom) = 34.57
- D(E_F) (states/eV/f.u.) = 5.895
- energy of formation from the pure elements (eV per formula unit) = 2.06

Unit cell a=9.2054 b=9.2054 c=6.5282 alpha=90.00 beta=90.00 gamma=90.00
Space group I-42d (No. 122)
One atom of each set of equivalent atoms:
Na 0.2440 0.2500 0.1250
La 0.0000 0.0000 0.5000
Y 0.0000 0.0000 0.0000



Which value of calculated volume does entry 2 give? 14.99 A^3/atom



The lowest D(E_F) belongs to which entry? LiIn2Ru2



Number 3 is which compound? Na2LaY



Copy entry 2 word for word.
A plane-wave DFT calculation with GGA-PBE was carried out for Ba3Ta2AgO9 after structural relaxation.

## Properties
- calculated volume (A^3/atom) = 14.99
- E_form (uncorrected) (eV per atom) = -2.565
- D(E_F) (states/eV/f.u.) = 5.538

Unit cell a=5.9371 b=5.9371 c=7.3638 alpha=90.00 beta=90.00 gamma=120.00
Space group P-3m1 (No. 164)
One atom of each set of equivalent atoms:
Ba 0.0000 0.0000 0.0000
Ba 0.3333 0.6667 0.6596
Ta 0.3333 0.6667 0.1666
Ag 0.0000 0.0000 0.5000
O 0.0000 0.5000 0.0000
O 0.1768 0.3537 0.3117